Entry from the Alexandria database: a geometry-optimized Ca2NiNO structure (GGA+U).

Spin magnetization ... 0.15 μB per atom
Calculated total energy ... -4.369 eV per atom

The structure in POSCAR format:
```
Ca2NiNO
1.0
-0.854 -0.081 4.889
4.494 -1.968 0.753
1.321 3.124 0.282
Ni Ca O N
1 2 1 1
direct
0.000 0.000 0.000
0.000 0.500 0.000
0.500 0.000 0.000
0.500 0.500 0.500
0.000 0.000 0.500
```